## K2BeTe (PBE-GGA)

Data for a geometry-optimized K2BeTe structure.

Summary:
**E_form (uncorrected)**: 0.104 eV/atom
**Total moment**: 0.00 μB/f.u.
**Energy above the lowest structure with this stoichiometry**: 273 meV per atom
**SG**: I-4m2

Structure (CIF):
```
data_K2BeTe
_chemical_formula_sum 'K2 Be1 Te1'
_space_group_name_H-M_alt 'P 1'
_space_group_IT_number 1
_space_group_name_Hall 'P 1'
_cell_length_a 6.3964
_cell_length_b 6.3964
_cell_length_c 6.3964
_cell_angle_alpha 133.41
_cell_angle_beta 133.41
_cell_angle_gamma 68.01
loop_
_atom_site_label
_atom_site_type_symbol
_atom_site_fract_x
_atom_site_fract_y
_atom_site_fract_z
K1 K 0.0000 0.0000 0.0000
K2 K 0.7500 0.2500 0.5000
Be1 Be 0.5000 0.5000 0.0000
Te1 Te 0.2500 0.7500 0.5000
```

## K2BeTe (PBE-GGA)

Data for a geometry-optimized K2BeTe structure.

Summary:
**E_form (uncorrected)**: 0.319 eV/atom
**Total moment**: 0.00 μB/f.u.
**Energy above the lowest structure with this stoichiometry**: 489 meV per atom
**SG**: I-42d

Structure (CIF):
```
data_K2BeTe
_chemical_formula_sum 'K4 Be2 Te2'
_space_group_name_H-M_alt 'P 1'
_space_group_IT_number 1
_space_group_name_Hall 'P 1'
_cell_length_a 11.3089
_cell_length_b 11.3089
_cell_length_c 11.3089
_cell_angle_alpha 149.82
_cell_angle_beta 149.82
_cell_angle_gamma 43.21
loop_
_atom_site_label
_atom_site_type_symbol
_atom_site_fract_x
_atom_site_fract_y
_atom_site_fract_z
K1 K 0.1193 0.6250 0.9943
K2 K 0.3750 0.3693 0.4943
K3 K 0.6307 0.1250 0.0057
K4 K 0.8750 0.8807 0.5057
Be1 Be 0.2500 0.7500 0.5000
Be2 Be 0.5000 0.5000 0.0000
Te1 Te 0.0000 0.0000 0.0000
Te2 Te 0.7500 0.2500 0.5000
```

## KBe2Te (PBE-GGA)

Data for a geometry-optimized KBe2Te structure.

Summary:
**E_form (uncorrected)**: 0.884 eV/atom
**Total moment**: 0.00 μB/f.u.
**SG**: I-4m2

Structure (CIF):
```
data_KBe2Te
_chemical_formula_sum 'K1 Be2 Te1'
_space_group_name_H-M_alt 'P 1'
_space_group_IT_number 1
_space_group_name_Hall 'P 1'
_cell_length_a 5.9939
_cell_length_b 5.9939
_cell_length_c 5.9939
_cell_angle_alpha 139.17
_cell_angle_beta 139.17
_cell_angle_gamma 59.11
loop_
_atom_site_label
_atom_site_type_symbol
_atom_site_fract_x
_atom_site_fract_y
_atom_site_fract_z
K1 K 0.0000 0.0000 0.0000
Be1 Be 0.5000 0.5000 0.0000
Be2 Be 0.7500 0.2500 0.5000
Te1 Te 0.2500 0.7500 0.5000
```

## K2BeTe (PBE-GGA)

Data for a geometry-optimized K2BeTe structure.

Summary:
**E_form (uncorrected)**: 0.147 eV/atom
**Total moment**: 0.46 μB/f.u.
**Energy above the lowest structure with this stoichiometry**: 316 meV per atom
**SG**: P4/mmm

Structure (CIF):
```
data_K2BeTe
_chemical_formula_sum 'K2 Be1 Te1'
_space_group_name_H-M_alt 'P 1'
_space_group_IT_number 1
_space_group_name_Hall 'P 1'
_cell_length_a 4.5988
_cell_length_b 4.5988
_cell_length_c 6.1130
_cell_angle_alpha 90.00
_cell_angle_beta 90.00
_cell_angle_gamma 90.00
loop_
_atom_site_label
_atom_site_type_symbol
_atom_site_fract_x
_atom_site_fract_y
_atom_site_fract_z
K1 K 0.0000 0.0000 0.2450
K2 K 0.0000 0.0000 0.7550
Be1 Be 0.5000 0.5000 0.5000
Te1 Te 0.5000 0.5000 0.0000
```

## KBeTe3 (PBE-GGA)

Data for a geometry-optimized KBeTe3 structure.

Summary:
**E_form (uncorrected)**: 1.362 eV/atom
**Total moment**: 0.00 μB/f.u.
**Energy above the lowest structure with this stoichiometry**: 1445 meV per atom
**SG**: Pm-3m

Structure (CIF):
```
data_KBeTe3
_chemical_formula_sum 'K1 Be1 Te3'
_space_group_name_H-M_alt 'P 1'
_space_group_IT_number 1
_space_group_name_Hall 'P 1'
_cell_length_a 6.0150
_cell_length_b 6.0150
_cell_length_c 6.0150
_cell_angle_alpha 90.00
_cell_angle_beta 90.00
_cell_angle_gamma 90.00
loop_
_atom_site_label
_atom_site_type_symbol
_atom_site_fract_x
_atom_site_fract_y
_atom_site_fract_z
K1 K 0.0000 0.0000 0.0000
Be1 Be 0.5000 0.5000 0.5000
Te1 Te 0.0000 0.0000 0.5000
Te2 Te 0.0000 0.5000 0.0000
Te3 Te 0.5000 0.0000 0.0000
```

## K2BeTe (PBE-GGA)

Data for a geometry-optimized K2BeTe structure.

Summary:
**E_form (uncorrected)**: 0.022 eV/atom
**Total moment**: 0.00 μB/f.u.
**Energy above the lowest structure with this stoichiometry**: 191 meV per atom
**SG**: Fm-3m

Structure (CIF):
```
data_K2BeTe
_chemical_formula_sum 'K2 Be1 Te1'
_space_group_name_H-M_alt 'P 1'
_space_group_IT_number 1
_space_group_name_Hall 'P 1'
_cell_length_a 5.8244
_cell_length_b 5.8244
_cell_length_c 5.8244
_cell_angle_alpha 60.00
_cell_angle_beta 60.00
_cell_angle_gamma 60.00
loop_
_atom_site_label
_atom_site_type_symbol
_atom_site_fract_x
_atom_site_fract_y
_atom_site_fract_z
K1 K 0.2500 0.2500 0.2500
K2 K 0.7500 0.7500 0.7500
Be1 Be 0.0000 0.0000 0.0000
Te1 Te 0.5000 0.5000 0.5000
```

## KBeTe (PBE-GGA)

Data for a geometry-optimized KBeTe structure.

Summary:
**E_form (uncorrected)**: 0.243 eV/atom
**Total moment**: 0.00 μB/f.u.
**Energy above the lowest structure with this stoichiometry**: 424 meV per atom
**SG**: F-43m

Structure (CIF):
```
data_KBeTe
_chemical_formula_sum 'K1 Be1 Te1'
_space_group_name_H-M_alt 'P 1'
_space_group_IT_number 1
_space_group_name_Hall 'P 1'
_cell_length_a 4.9635
_cell_length_b 4.9635
_cell_length_c 4.9635
_cell_angle_alpha 60.00
_cell_angle_beta 60.00
_cell_angle_gamma 60.00
loop_
_atom_site_label
_atom_site_type_symbol
_atom_site_fract_x
_atom_site_fract_y
_atom_site_fract_z
K1 K 0.0000 0.0000 0.0000
Be1 Be 0.7500 0.7500 0.7500
Te1 Te 0.5000 0.5000 0.5000
```

## KBeTe2 (PBE-GGA)

Data for a geometry-optimized KBeTe2 structure.

Summary:
**E_form (uncorrected)**: 0.456 eV/atom
**Total moment**: 0.00 μB/f.u.
**SG**: F-43m

Structure (CIF):
```
data_KBeTe2
_chemical_formula_sum 'K1 Be1 Te2'
_space_group_name_H-M_alt 'P 1'
_space_group_IT_number 1
_space_group_name_Hall 'P 1'
_cell_length_a 5.4338
_cell_length_b 5.4338
_cell_length_c 5.4338
_cell_angle_alpha 60.00
_cell_angle_beta 60.00
_cell_angle_gamma 60.00
loop_
_atom_site_label
_atom_site_type_symbol
_atom_site_fract_x
_atom_site_fract_y
_atom_site_fract_z
K1 K 0.0000 0.0000 0.0000
Be1 Be 0.7500 0.7500 0.7500
Te1 Te 0.2500 0.2500 0.2500
Te2 Te 0.5000 0.5000 0.5000
```

## KBe2Te (PBE-GGA)

Data for a geometry-optimized KBe2Te structure.

Summary:
**E_form (uncorrected)**: 0.594 eV/atom
**Total moment**: 0.00 μB/f.u.
**SG**: P4/mmm

Structure (CIF):
```
data_KBe2Te
_chemical_formula_sum 'K1 Be2 Te1'
_space_group_name_H-M_alt 'P 1'
_space_group_IT_number 1
_space_group_name_Hall 'P 1'
_cell_length_a 3.6065
_cell_length_b 3.6065
_cell_length_c 7.2390
_cell_angle_alpha 90.00
_cell_angle_beta 90.00
_cell_angle_gamma 90.00
loop_
_atom_site_label
_atom_site_type_symbol
_atom_site_fract_x
_atom_site_fract_y
_atom_site_fract_z
K1 K 0.0000 0.0000 0.0000
Be1 Be 0.5000 0.5000 0.3533
Be2 Be 0.5000 0.5000 0.6467
Te1 Te 0.0000 0.0000 0.5000
```

## K2BeTe (PBE-GGA)

Data for a geometry-optimized K2BeTe structure.

Summary:
**E_form (uncorrected)**: -0.170 eV/atom
**Total moment**: 0.00 μB/f.u.
**Energy above the lowest structure with this stoichiometry**: 0 meV per atom
**SG**: Amm2

Structure (CIF):
```
data_K2BeTe
_chemical_formula_sum 'K2 Be1 Te1'
_space_group_name_H-M_alt 'P 1'
_space_group_IT_number 1
_space_group_name_Hall 'P 1'
_cell_length_a 4.1232
_cell_length_b 7.0829
_cell_length_c 7.0829
_cell_angle_alpha 43.05
_cell_angle_beta 90.00
_cell_angle_gamma 90.00
loop_
_atom_site_label
_atom_site_type_symbol
_atom_site_fract_x
_atom_site_fract_y
_atom_site_fract_z
K1 K 0.0000 0.0000 0.0000
K2 K 0.5000 0.3076 0.3076
Be1 Be 0.5000 0.5886 0.5886
Te1 Te 0.0000 0.7020 0.7020
```

## KBeTe (PBE-GGA)

Data for a geometry-optimized KBeTe structure.

Summary:
**E_form (uncorrected)**: -0.180 eV/atom
**Total moment**: 0.81 μB/f.u.
**Energy above the lowest structure with this stoichiometry**: 0 meV per atom
**SG**: P3m1

Structure (CIF):
```
data_KBeTe
_chemical_formula_sum 'K1 Be1 Te1'
_space_group_name_H-M_alt 'P 1'
_space_group_IT_number 1
_space_group_name_Hall 'P 1'
_cell_length_a 4.0979
_cell_length_b 4.0979
_cell_length_c 5.9879
_cell_angle_alpha 90.00
_cell_angle_beta 90.00
_cell_angle_gamma 120.00
loop_
_atom_site_label
_atom_site_type_symbol
_atom_site_fract_x
_atom_site_fract_y
_atom_site_fract_z
K1 K 0.0000 0.0000 0.0000
Be1 Be 0.3333 0.6667 0.5882
Te1 Te 0.6667 0.3333 0.4724
```

## KBeTe2 (PBE-GGA)

Data for a geometry-optimized KBeTe2 structure.

Summary:
**E_form (uncorrected)**: 0.309 eV/atom
**Total moment**: 0.00 μB/f.u.
**SG**: I4/mmm

Structure (CIF):
```
data_KBeTe2
_chemical_formula_sum 'K1 Be1 Te2'
_space_group_name_H-M_alt 'P 1'
_space_group_IT_number 1
_space_group_name_Hall 'P 1'
_cell_length_a 5.6891
_cell_length_b 5.6891
_cell_length_c 5.6891
_cell_angle_alpha 128.52
_cell_angle_beta 128.52
_cell_angle_gamma 75.79
loop_
_atom_site_label
_atom_site_type_symbol
_atom_site_fract_x
_atom_site_fract_y
_atom_site_fract_z
K1 K 0.0000 0.0000 0.0000
Be1 Be 0.5000 0.5000 0.0000
Te1 Te 0.2500 0.7500 0.5000
Te2 Te 0.7500 0.2500 0.5000
```

Please write out number 2 again, unchanged.
## K2BeTe (PBE-GGA)

Data for a geometry-optimized K2BeTe structure.

Summary:
**E_form (uncorrected)**: 0.319 eV/atom
**Total moment**: 0.00 μB/f.u.
**Energy above the lowest structure with this stoichiometry**: 489 meV per atom
**SG**: I-42d

Structure (CIF):
```
data_K2BeTe
_chemical_formula_sum 'K4 Be2 Te2'
_space_group_name_H-M_alt 'P 1'
_space_group_IT_number 1
_space_group_name_Hall 'P 1'
_cell_length_a 11.3089
_cell_length_b 11.3089
_cell_length_c 11.3089
_cell_angle_alpha 149.82
_cell_angle_beta 149.82
_cell_angle_gamma 43.21
loop_
_atom_site_label
_atom_site_type_symbol
_atom_site_fract_x
_atom_site_fract_y
_atom_site_fract_z
K1 K 0.1193 0.6250 0.9943
K2 K 0.3750 0.3693 0.4943
K3 K 0.6307 0.1250 0.0057
K4 K 0.8750 0.8807 0.5057
Be1 Be 0.2500 0.7500 0.5000
Be2 Be 0.5000 0.5000 0.0000
Te1 Te 0.0000 0.0000 0.0000
Te2 Te 0.7500 0.2500 0.5000
```

- Among the records above, which one has the highest E_form (uncorrected)?
  KBeTe3